This record from Alexandria describes a relaxed structure of Na2NiWBr. The functional is PBE.

Unit cell a=5.108 b=5.108 c=4.782 alpha=90.00 beta=90.00 gamma=90.00
Space group P4/mmm (No. 123)
One atom of each set of equivalent atoms:
Na: 0.000 0.500 0.000 (multiplicity 2)
Ni: 0.000 0.000 0.500 (multiplicity 1)
W: 0.500 0.500 0.500 (multiplicity 1)
Br: 0.500 0.500 0.000 (multiplicity 1)

Results
crystal system: tetragonal
formation energy without anion corrections: 1.337 eV/atom